(1)
The following is a DFT calculation (PBEsol) of crystalline CaCoSi2W at its relaxed geometry.

Fermi-level density of states, states/eV per cell: 7.168
Uncorrected formation energy, meV per atom: 1253

Unit cell a=4.696 b=4.696 c=5.234 alpha=90.00 beta=90.00 gamma=90.00
Site moments in Bohr magnetons follow the coordinates.
Fractional positions:
Ca1 0.000 0.000 0.500  0.00
Co1 0.500 0.500 0.500  2.10
Si1 0.000 0.500 0.000  0.02
Si2 0.500 0.000 0.000  0.02
W1 0.000 0.000 0.000  0.20

---

(2)
The following is a DFT calculation (PBEsol) of crystalline KCuRu3 at its relaxed geometry.

Fermi-level density of states, states/eV per cell: 7.261
Energy relative to the elements, eV per atom: 3.167

Unit cell a=4.438 b=4.438 c=4.438 alpha=90.00 beta=90.00 gamma=90.00
Site moments in Bohr magnetons follow the coordinates.
Fractional positions:
Ru1 0.000 0.500 0.000  1.07
Ru2 0.000 0.000 0.500  1.07
Ru3 0.500 0.000 0.000  1.07
K1 0.000 0.000 0.000  0.01
Cu1 0.500 0.500 0.500  0.12

---

(3)
The following is a DFT calculation (PBEsol) of crystalline TaTl2Zn at its relaxed geometry.

Fermi-level density of states, states/eV per cell: 5.102
Energy relative to the elements, eV per atom: 0.881
Offset from the most stable computed form, eV/f.u.: 1.439

Unit cell a=4.910 b=4.910 c=4.910 alpha=60.00 beta=60.00 gamma=60.00
Site moments in Bohr magnetons follow the coordinates.
Fractional positions:
Ta1 0.500 0.500 0.500  0.76
Tl1 0.000 0.000 0.000  0.00
Tl2 0.750 0.750 0.750  0.01
Zn1 0.250 0.250 0.250  0.01

---

(4)
The following is a DFT calculation (PBEsol) of crystalline KNbNF2 at its relaxed geometry.

Fermi-level density of states, states/eV per cell: 1.639
Uncorrected formation energy, meV per atom: -1803
Offset from the most stable computed form, eV/f.u.: 0.000

Unit cell a=4.002 b=4.288 c=4.288 alpha=90.00 beta=90.00 gamma=90.00
Site moments in Bohr magnetons follow the coordinates.
Fractional positions:
Nb1 0.000 0.000 0.000  0.85
N1 0.500 0.000 0.000  -0.06
K1 0.500 0.500 0.500  0.00
F1 0.000 0.000 0.500  0.02
F2 0.000 0.500 0.000  0.02

---

(5)
The following is a DFT calculation (PBEsol) of crystalline YMg2Cu2 at its relaxed geometry.

Fermi-level density of states, states/eV per cell: 6.546
Energy relative to the elements, eV per atom: -0.071
Offset from the most stable computed form, eV/f.u.: 0.287

Unit cell a=3.796 b=4.750 c=10.796 alpha=96.63 beta=90.00 gamma=90.00
Fractional positions:
Cu1 0.250 0.794 0.659
Cu2 0.750 0.206 0.341
Cu3 0.250 0.365 0.969
Cu4 0.750 0.635 0.031
Mg1 0.250 0.852 0.896
Mg2 0.750 0.148 0.104
Mg3 0.250 0.252 0.507
Mg4 0.750 0.748 0.493
Y1 0.250 0.684 0.242
Y2 0.750 0.316 0.758

---

(6)
The following is a DFT calculation (PBEsol) of crystalline Ni2PtRh at its relaxed geometry.

Fermi-level density of states, states/eV per cell: 7.744
Energy relative to the elements, eV per atom: 0.020

Unit cell a=2.661 b=2.661 c=7.023 alpha=90.00 beta=90.00 gamma=90.00
Site moments in Bohr magnetons follow the coordinates.
Fractional positions:
Ni1 0.000 0.000 0.011  0.59
Ni2 0.500 0.500 0.232  0.56
Rh1 0.500 0.500 0.769  0.42
Pt1 0.000 0.000 0.488  0.14

---

(7)
The following is a DFT calculation (PBEsol) of crystalline CsCdTe2N at its relaxed geometry.

Fermi-level density of states, states/eV per cell: 5.361
Uncorrected formation energy, meV per atom: 1593

Unit cell a=4.493 b=6.151 c=6.151 alpha=90.00 beta=90.00 gamma=90.00
Site moments in Bohr magnetons follow the coordinates.
Fractional positions:
Cs1 0.000 0.000 0.000  0.03
N1 0.500 0.000 0.000  0.73
Te1 0.000 0.000 0.500  0.15
Te2 0.000 0.500 0.000  0.15
Cd1 0.500 0.500 0.500  -0.02

---

(8)
The following is a DFT calculation (PBEsol) of crystalline Y2HgPb at its relaxed geometry.

Fermi-level density of states, states/eV per cell: 4.674
Energy relative to the elements, eV per atom: -0.389

Unit cell a=3.631 b=5.034 c=6.150 alpha=90.00 beta=90.00 gamma=90.00
Fractional positions:
Hg1 0.000 0.000 0.376
Pb1 0.500 0.500 0.874
Y1 0.000 0.000 0.876
Y2 0.500 0.500 0.374